No. 1
Entry from Alexandria: an optimized crystal structure of Na2TlCoAu (PBEsol).

Values from the calculation:
V = 161.52 Å³/cell
energy relative to the elements = 1.09 eV per atom
crystal system = tetragonal

Structure (CIF):
```
data_Na2TlCoAu
_symmetry_space_group_name_H-M 'P 4/m m m'
_symmetry_Int_Tables_number 123
_symmetry_space_group_name_Hall '-P 4 2'
_cell_length_a 5.6382
_cell_length_b 5.6382
_cell_length_c 5.0811
_cell_angle_alpha 90.00
_cell_angle_beta 90.00
_cell_angle_gamma 90.00
loop_
_atom_site_label
_atom_site_type_symbol
_atom_site_fract_x
_atom_site_fract_y
_atom_site_fract_z
Na1 Na 0.0000 0.5000 0.0000
Tl1 Tl 0.0000 0.0000 0.0000
Co1 Co 0.5000 0.5000 0.5000
Au1 Au 0.0000 0.0000 0.5000
```



No. 2
Entry from Alexandria: an optimized crystal structure of ZrSN2Cl (PBEsol).

Values from the calculation:
V = 63.11 Å³/cell
crystal system = tetragonal

Structure (CIF):
```
data_ZrSN2Cl
_symmetry_space_group_name_H-M 'P 4/m m m'
_symmetry_Int_Tables_number 123
_symmetry_space_group_name_Hall '-P 4 2'
_cell_length_a 3.8507
_cell_length_b 3.8507
_cell_length_c 4.2565
_cell_angle_alpha 90.00
_cell_angle_beta 90.00
_cell_angle_gamma 90.00
loop_
_atom_site_label
_atom_site_type_symbol
_atom_site_fract_x
_atom_site_fract_y
_atom_site_fract_z
Zr1 Zr 0.0000 0.0000 0.0000
S1 S 0.5000 0.5000 0.0000
N1 N 0.0000 0.5000 0.5000
Cl1 Cl 0.5000 0.5000 0.5000
```



No. 3
Entry from Alexandria: an optimized crystal structure of InCu2Pt (PBEsol).

Values from the calculation:
V = 233.45 Å³/cell
energy relative to the elements = -0.16 eV per atom
crystal system = cubic

Structure (CIF):
```
data_InCu2Pt
_symmetry_space_group_name_H-M 'F -4 3 m'
_symmetry_Int_Tables_number 216
_symmetry_space_group_name_Hall 'F -4 2 3'
_cell_length_a 6.1574
_cell_length_b 6.1574
_cell_length_c 6.1574
_cell_angle_alpha 90.00
_cell_angle_beta 90.00
_cell_angle_gamma 90.00
loop_
_atom_site_label
_atom_site_type_symbol
_atom_site_fract_x
_atom_site_fract_y
_atom_site_fract_z
In1 In 0.0000 0.0000 0.0000
Cu1 Cu 0.0000 0.0000 0.5000
Cu2 Cu 0.2500 0.2500 0.2500
Pt1 Pt 0.2500 0.2500 0.7500
```



No. 4
Entry from Alexandria: an optimized crystal structure of YMgTl (PBEsol).

Values from the calculation:
V = 152.52 Å³/cell
energy relative to the elements = -0.14 eV per atom
crystal system = orthorhombic

Structure (CIF):
```
data_YMgTl
_symmetry_space_group_name_H-M 'I m m 2'
_symmetry_Int_Tables_number 44
_cell_length_a 3.4466
_cell_length_b 4.6942
_cell_length_c 9.4271
_cell_angle_alpha 90.00
_cell_angle_beta 90.00
_cell_angle_gamma 90.00
loop_
_symmetry_equiv_pos_as_xyz
'x,y,z'
'-x,-y,z'
'-x,y,z'
'x,-y,z'
'x+1/2,y+1/2,z+1/2'
'-x+1/2,-y+1/2,z+1/2'
'-x+1/2,y+1/2,z+1/2'
'x+1/2,-y+1/2,z+1/2'
loop_
_atom_site_label
_atom_site_type_symbol
_atom_site_fract_x
_atom_site_fract_y
_atom_site_fract_z
Y1 Y 0.0000 0.0000 0.0000
Mg1 Mg 0.0000 0.0000 0.6626
Tl1 Tl 0.0000 0.0000 0.3338
```



no.,total DFT energy (no corrections) (hartree per atom)
1,-0.08566
2,-0.19939
3,-0.17690
4,-0.14180